# ReHg2Mo

Crystalline ReHg2Mo at its relaxed geometry (PBE-GGA, Alexandria).

Summary:
For the size of the total moment, the calculation gives 0.000 μB per atom. Its uncorrected energy is -0.188 hartree per atom. As for the density of states at the Fermi level: 2.8 states/eV/cell. The formation energy is 325 kJ/mol of formula units. The value obtained for the excess energy over the best structure of this formula in the dataset is 41.4 kJ per mole of atoms.

Geometry as extended XYZ:
```
4
Lattice="4.824 0.000 0.000 0.000 2.794 0.016 0.000 0.998 5.345" Properties=species:S:1:pos:R:3 pbc="T T T"
Hg 0.000 2.003 2.690
Hg 0.000 3.685 5.352
Mo 2.412 0.948 1.340
Re 2.412 2.844 4.021
```

# KInHg2F8

Crystalline KInHg2F8 at its relaxed geometry (PBE-GGA, Alexandria).

Summary:
For the size of the total moment, the calculation gives 0.000 μB per atom. Its uncorrected energy is -0.134 hartree per atom. As for the density of states at the Fermi level: 0.0 states/eV/cell. Its uncorrected formation energy is -2015.3 meV/atom.

Geometry as extended XYZ:
```
12
Lattice="4.605 -0.068 0.058 -0.022 5.595 0.263 0.131 0.387 7.735" Properties=species:S:1:pos:R:3 pbc="T T T"
F 4.102 1.261 1.581
F 2.225 1.634 3.787
F 2.798 4.271 0.362
F 0.612 4.653 6.475
F 4.282 1.630 6.174
F 2.489 4.280 4.269
F 0.432 4.283 1.883
F 1.916 1.643 7.695
In 0.000 0.000 0.000
Hg 2.208 2.921 5.922
Hg 2.506 2.993 2.134
K 0.066 0.193 3.868
```

# RbGaPCl2

Crystalline RbGaPCl2 at its relaxed geometry (PBE-GGA, Alexandria).

Summary:
For the size of the total moment, the calculation gives 0.287 μB per atom. Its uncorrected energy is -0.120 hartree per atom. As for the density of states at the Fermi level: 3.2 states/eV/cell. The value obtained for the excess energy over the best structure of this formula in the dataset is 0.0 kJ per mole of atoms. Its uncorrected formation energy is -638.4 meV/atom.

Geometry as extended XYZ:
```
5
Lattice="5.373 0.000 0.000 0.000 4.772 0.000 0.000 0.000 5.373" Properties=species:S:1:pos:R:3 pbc="T T T"
Rb 2.686 2.386 2.686
Ga 0.000 0.000 0.000
Cl 0.000 0.000 2.686
Cl 2.686 0.000 0.000
P 0.000 2.386 0.000
```

# NaHfBr2

Crystalline NaHfBr2 at its relaxed geometry (PBE-GGA, Alexandria).

Summary:
For the size of the total moment, the calculation gives 0.000 μB per atom. Its uncorrected energy is -0.160 hartree per atom. As for the density of states at the Fermi level: 1.6 states/eV/cell. The value obtained for the excess energy over the best structure of this formula in the dataset is 0.0 kJ per mole of atoms. Its uncorrected formation energy is -701.0 meV/atom.

Geometry as extended XYZ:
```
4
Lattice="-0.495 7.953 7.726 2.248 9.080 5.973 -0.926 9.905 4.921" Properties=species:S:1:pos:R:3 pbc="T T T"
Br 0.089 2.896 2.001
Br 0.739 24.042 16.618
Hf 0.414 13.469 9.310
Na 0.000 0.000 0.000
```

# KLi2Tl

Crystalline KLi2Tl at its relaxed geometry (PBE-GGA, Alexandria).

Summary:
For the size of the total moment, the calculation gives 0.000 μB per atom. Its uncorrected energy is -0.064 hartree per atom. As for the density of states at the Fermi level: 1.8 states/eV/cell. The formation energy is 30 kJ/mol of formula units. The value obtained for the excess energy over the best structure of this formula in the dataset is 12.7 kJ per mole of atoms.

Geometry as extended XYZ:
```
4
Lattice="-0.104 3.528 -1.016 -5.229 0.785 3.262 -0.555 1.776 6.224" Properties=species:S:1:pos:R:3 pbc="T T T"
Li -2.667 2.157 1.123
Li 0.000 0.000 0.000
K -0.277 0.888 3.112
Tl -2.944 3.045 4.235
```

# AcPmPb2

Crystalline AcPmPb2 at its relaxed geometry (PBE-GGA, Alexandria).

Summary:
For the size of the total moment, the calculation gives 0.000 μB per atom. Its uncorrected energy is -0.167 hartree per atom. As for the density of states at the Fermi level: 3.6 states/eV/cell. The formation energy is -179 kJ/mol of formula units. The value obtained for the excess energy over the best structure of this formula in the dataset is 2.2 kJ per mole of atoms.

Geometry as extended XYZ:
```
4
Lattice="5.458 -0.237 -0.211 -2.932 4.609 0.211 -2.913 -1.233 5.778" Properties=species:S:1:pos:R:3 pbc="T T T"
Pm -0.387 3.139 5.778
Ac 2.535 1.451 2.783
Pb -0.212 3.038 1.335
Pb -0.175 0.101 4.442
```

Q: Among the records above, which one has the highest uncorrected energy?
A: KLi2Tl